This record from Alexandria describes an optimized crystal structure of AcGa4Co3O12. The functional is PBE+U.

Output
**Spin magnetization**: 6.1 μB per cell
**Mass density**: 6.91 g cm⁻³
**Calculated total energy**: -123.79 eV for the cell shown

extended XYZ file:
```
20
Lattice="-4.7068 1.9389 -4.0230 4.8572 -2.5833 -3.4398 -2.3525 -4.4470 4.0973" Properties=species:S:1:pos:R:3 pbc="T T T"
O -1.1192 -0.8758 -5.1011
O -1.1749 -0.6370 -2.3359
O -4.4039 -2.9358 0.1648
O -0.4140 -3.0848 -3.5027
O -1.7882 -2.0065 0.1372
O -1.0273 -4.4543 -1.0295
O -1.0830 -4.2156 1.7356
O -3.9445 -0.1622 -2.5240
O 1.7424 -4.9291 -0.8415
O -3.0165 -2.7671 -2.2804
O 2.2017 -2.1555 -3.5302
O 0.8143 -2.3243 -1.0851
Co -3.5297 -1.2540 0.0372
Co 0.0752 -0.3222 -3.7314
Co 1.2523 -3.5151 0.3288
Ga -1.1763 -2.2235 2.0486
Ga 2.4286 -1.2917 -1.7199
Ga -2.3534 0.9695 -2.0115
Ga -1.1011 -2.5457 -1.6827
Ac 0.0000 0.0000 0.0000
```